(1)
Ac6SnIr4: relaxed, GGA-PBE.

- Formation energy: -0.602 eV/atom
- Spin magnetization: 0.000 μB per cell
- Calculated total energy: -141.428 eV/cell

Cell lengths 4.387, 7.576, 22.213 Å; angles 90.00, 90.00, 106.83 degrees
Fractional positions:
Ac1 0.500 0.000 0.000
Ac2 0.500 0.000 0.500
Ac3 0.037 0.073 0.347
Ac4 0.963 0.927 0.653
Ac5 0.963 0.927 0.847
Ac6 0.037 0.073 0.153
Ac7 0.768 0.535 0.417
Ac8 0.232 0.465 0.583
Ac9 0.232 0.465 0.917
Ac10 0.768 0.535 0.083
Ac11 0.333 0.666 0.250
Ac12 0.667 0.334 0.750
Sn1 0.655 0.311 0.250
Sn2 0.345 0.689 0.750
Ir1 0.864 0.728 0.542
Ir2 0.400 0.800 0.128
Ir3 0.136 0.272 0.458
Ir4 0.600 0.200 0.872
Ir5 0.864 0.728 0.958
Ir6 0.136 0.272 0.042
Ir7 0.600 0.200 0.628
Ir8 0.400 0.800 0.372

(2)
AcSnIr: relaxed, GGA-PBE.

- Formation energy: -0.699 eV/atom
- Spin magnetization: 0.000 μB per cell
- Calculated total energy: -76.274 eV/cell
- Distance to the lowest polymorph of the same formula: 0 meV per atom

Cell lengths 4.706, 8.379, 7.610 Å; angles 90.00, 90.00, 90.00 degrees
Fractional positions:
Ac1 0.250 0.819 0.468
Ac2 0.750 0.319 0.032
Ac3 0.250 0.681 0.968
Ac4 0.750 0.181 0.532
Sn1 0.750 0.930 0.150
Sn2 0.750 0.570 0.650
Sn3 0.250 0.070 0.850
Sn4 0.250 0.430 0.350
Ir1 0.750 0.613 0.281
Ir2 0.750 0.887 0.781
Ir3 0.250 0.113 0.219
Ir4 0.250 0.387 0.719

(3)
Ac12Sn6Ir: relaxed, GGA-PBE.

- Formation energy: -0.447 eV/atom
- Spin magnetization: 0.001 μB per cell
- Calculated total energy: -90.675 eV/cell

Cell lengths 9.427, 9.427, 9.427 Å; angles 99.28, 99.28, 99.28 degrees
Fractional positions:
Ac1 0.809 0.572 0.436
Ac2 0.436 0.809 0.572
Ac3 0.572 0.436 0.809
Ac4 0.191 0.428 0.564
Ac5 0.564 0.191 0.428
Ac6 0.428 0.564 0.191
Ac7 0.059 0.987 0.315
Ac8 0.013 0.685 0.941
Ac9 0.685 0.941 0.013
Ac10 0.941 0.013 0.685
Ac11 0.987 0.315 0.059
Ac12 0.315 0.059 0.987
Sn1 0.693 0.876 0.358
Sn2 0.642 0.307 0.124
Sn3 0.124 0.642 0.307
Sn4 0.307 0.124 0.642
Sn5 0.358 0.693 0.876
Sn6 0.876 0.358 0.693
Ir1 0.000 0.000 0.000

(4)
Ac2TbSn3Ir4: relaxed, GGA-PBE.

- Formation energy: -0.649 eV/atom
- Spin magnetization: 0.000 μB per cell
- Calculated total energy: -66.787 eV/cell

Cell lengths 4.492, 4.492, 11.690 Å; angles 90.00, 90.00, 90.00 degrees
Fractional positions:
Ac1 0.500 0.000 0.238
Ac2 0.000 0.500 0.762
Tb1 0.500 0.500 0.500
Sn1 0.000 0.000 0.500
Sn2 0.500 0.000 0.877
Sn3 0.000 0.500 0.123
Ir1 0.500 0.500 0.000
Ir2 0.000 0.000 0.000
Ir3 0.500 0.000 0.648
Ir4 0.000 0.500 0.352

(5)
Ac4SnTe2Ir: relaxed, GGA-PBE.

- Spin magnetization: 0.000 μB per cell
- Calculated total energy: -44.233 eV/cell
- Energy relative to the elements, uncorrected: -1.08 eV/atom

Cell lengths 4.637, 8.007, 8.367 Å; angles 108.65, 90.00, 90.00 degrees
Fractional positions:
Ac1 0.500 0.227 0.219
Ac2 0.500 0.773 0.781
Ac3 0.000 0.232 0.780
Ac4 0.000 0.768 0.220
Sn1 0.500 0.500 0.000
Te1 0.500 0.000 0.500
Te2 0.000 0.500 0.500
Ir1 0.000 0.000 0.000

(6)
Ac2ThSn3Ir4: relaxed, GGA-PBE.

- Formation energy: -0.648 eV/atom
- Spin magnetization: 0.000 μB per cell
- Calculated total energy: -69.572 eV/cell

Cell lengths 4.601, 4.601, 11.455 Å; angles 90.00, 90.00, 90.00 degrees
Fractional positions:
Ac1 0.500 0.000 0.228
Ac2 0.000 0.500 0.772
Th1 0.500 0.500 0.500
Sn1 0.000 0.000 0.500
Sn2 0.500 0.000 0.876
Sn3 0.000 0.500 0.124
Ir1 0.500 0.500 0.000
Ir2 0.000 0.000 0.000
Ir3 0.500 0.000 0.644
Ir4 0.000 0.500 0.356

(7)
Ac2TmSn3Ir4: relaxed, GGA-PBE.

- Formation energy: -0.667 eV/atom
- Spin magnetization: 0.000 μB per cell
- Calculated total energy: -66.808 eV/cell

Cell lengths 4.482, 4.482, 11.633 Å; angles 90.00, 90.00, 90.00 degrees
Fractional positions:
Ac1 0.500 0.000 0.240
Ac2 0.000 0.500 0.760
Tm1 0.500 0.500 0.500
Sn1 0.000 0.000 0.500
Sn2 0.500 0.000 0.876
Sn3 0.000 0.500 0.124
Ir1 0.500 0.500 0.000
Ir2 0.000 0.000 0.000
Ir3 0.500 0.000 0.645
Ir4 0.000 0.500 0.355

(8)
Ac2TmSn4Ir3: relaxed, GGA-PBE.

- Formation energy: -0.609 eV/atom
- Spin magnetization: 0.000 μB per cell
- Calculated total energy: -61.369 eV/cell

Cell lengths 4.531, 4.531, 12.033 Å; angles 90.00, 90.00, 90.00 degrees
Fractional positions:
Ac1 0.500 0.000 0.233
Ac2 0.000 0.500 0.767
Tm1 0.500 0.500 0.500
Sn1 0.500 0.500 0.000
Sn2 0.000 0.000 0.000
Sn3 0.500 0.000 0.656
Sn4 0.000 0.500 0.344
Ir1 0.000 0.000 0.500
Ir2 0.500 0.000 0.876
Ir3 0.000 0.500 0.124

(9)
AcYSnIr: relaxed, GGA-PBE.

- Formation energy: -0.430 eV/atom
- Spin magnetization: 0.000 μB per cell
- Calculated total energy: -25.158 eV/cell

Cell lengths 5.332, 5.332, 5.332 Å; angles 60.00, 60.00, 60.00 degrees
Fractional positions:
Y1 0.750 0.750 0.750
Ac1 0.250 0.250 0.250
Ir1 0.000 0.000 0.000
Sn1 0.500 0.500 0.500

(10)
AcZnSnIr: relaxed, GGA-PBE.

- Formation energy: -0.230 eV/atom
- Spin magnetization: 0.000 μB per cell
- Calculated total energy: -19.166 eV/cell

Cell lengths 5.067, 5.067, 5.067 Å; angles 60.00, 60.00, 60.00 degrees
Fractional positions:
Zn1 0.000 0.000 0.000
Ac1 0.250 0.250 0.250
Ir1 0.500 0.500 0.500
Sn1 0.750 0.750 0.750

(11)
Ac2Zn3SnIr4: relaxed, GGA-PBE.

- Formation energy: -0.443 eV/atom
- Spin magnetization: 0.000 μB per cell
- Calculated total energy: -55.914 eV/cell

Cell lengths 4.451, 4.451, 10.512 Å; angles 90.00, 90.00, 90.00 degrees
Fractional positions:
Ac1 0.500 0.000 0.223
Ac2 0.000 0.500 0.777
Zn1 0.000 0.000 0.500
Zn2 0.500 0.000 0.879
Zn3 0.000 0.500 0.121
Sn1 0.500 0.500 0.500
Ir1 0.500 0.500 0.000
Ir2 0.000 0.000 0.000
Ir3 0.500 0.000 0.635
Ir4 0.000 0.500 0.365

(12)
Ac2Zn4SnIr3: relaxed, GGA-PBE.

- Formation energy: -0.411 eV/atom
- Spin magnetization: 0.000 μB per cell
- Calculated total energy: -48.004 eV/cell

Cell lengths 4.214, 4.214, 11.638 Å; angles 90.00, 90.00, 90.00 degrees
Fractional positions:
Ac1 0.500 0.000 0.236
Ac2 0.000 0.500 0.764
Zn1 0.500 0.500 0.000
Zn2 0.000 0.000 0.000
Zn3 0.500 0.000 0.645
Zn4 0.000 0.500 0.355
Sn1 0.500 0.500 0.500
Ir1 0.000 0.000 0.500
Ir2 0.500 0.000 0.866
Ir3 0.000 0.500 0.134

(13)
AcZn2SnIr: relaxed, GGA-PBE.

- Formation energy: -0.343 eV/atom
- Spin magnetization: 0.000 μB per cell
- Calculated total energy: -21.237 eV/cell

Cell lengths 4.339, 4.628, 6.396 Å; angles 111.21, 109.83, 90.00 degrees
Fractional positions:
Ac1 0.455 0.455 0.910
Zn1 0.692 0.192 0.384
Zn2 0.073 0.073 0.147
Sn1 0.819 0.819 0.638
Ir1 0.173 0.673 0.346

(14)
Sr3Ac4Ir2: relaxed, GGA-PBE.

- Formation energy: -0.339 eV/atom
- Spin magnetization: 0.000 μB per cell
- Calculated total energy: -42.251 eV/cell

Cell lengths 4.328, 10.801, 10.392 Å; angles 120.47, 90.00, 101.56 degrees
Fractional positions:
Sr1 0.357 0.715 0.536
Sr2 0.000 0.000 0.000
Sr3 0.643 0.285 0.464
Ac1 0.709 0.417 0.107
Ac2 0.075 0.150 0.717
Ac3 0.925 0.850 0.283
Ac4 0.291 0.583 0.893
Ir1 0.321 0.641 0.210
Ir2 0.679 0.359 0.790

(15)
Sr2AcIr9: relaxed, GGA-PBE.

- Formation energy: -0.256 eV/atom
- Spin magnetization: 0.000 μB per cell
- Calculated total energy: -90.293 eV/cell

Cell lengths 5.487, 5.487, 9.377 Å; angles 72.99, 72.99, 60.00 degrees
Fractional positions:
Sr1 0.858 0.858 0.427
Sr2 0.142 0.142 0.573
Ac1 0.000 0.000 0.000
Ir1 0.669 0.669 0.992
Ir2 0.331 0.331 0.008
Ir3 0.500 0.500 0.500
Ir4 0.424 0.424 0.240
Ir5 0.912 0.424 0.240
Ir6 0.424 0.912 0.240
Ir7 0.576 0.576 0.760
Ir8 0.576 0.088 0.760
Ir9 0.088 0.576 0.760

(16)
Sr3AcIr: relaxed, GGA-PBE.

- Formation energy: -0.272 eV/atom
- Spin magnetization: 0.000 μB per cell
- Calculated total energy: -38.752 eV/cell

Cell lengths 8.533, 8.533, 8.547 Å; angles 59.80, 59.80, 88.03 degrees
Fractional positions:
Sr1 0.000 0.499 0.750
Sr2 0.499 0.000 0.750
Sr3 0.501 0.000 0.250
Sr4 0.499 0.499 0.234
Sr5 0.000 0.501 0.250
Sr6 0.501 0.501 0.766
Ac1 0.999 0.999 0.727
Ac2 0.001 0.001 0.273
Ir1 0.762 0.762 0.738
Ir2 0.238 0.238 0.262

(17)
SrAc5Ir3: relaxed, GGA-PBE.

- Formation energy: -0.526 eV/atom
- Spin magnetization: 0.000 μB per cell
- Calculated total energy: -107.074 eV/cell

Cell lengths 8.371, 8.371, 11.427 Å; angles 96.08, 114.13, 107.31 degrees
Fractional positions:
Sr1 0.801 0.897 0.698
Sr2 0.199 0.103 0.302
Ac1 0.694 0.035 0.333
Ac2 0.701 0.701 0.000
Ac3 0.801 0.232 0.033
Ac4 0.800 0.570 0.371
Ac5 0.200 0.430 0.629
Ac6 0.199 0.768 0.967
Ac7 0.298 0.639 0.333
Ac8 0.299 0.299 0.000
Ac9 0.306 0.965 0.667
Ac10 0.702 0.361 0.667
Ir1 0.500 0.333 0.833
Ir2 0.988 0.342 0.330
Ir3 0.000 0.000 0.000
Ir4 0.500 0.000 0.500
Ir5 0.500 0.667 0.167
Ir6 0.012 0.658 0.670

(18)
SrAc4Ir3: relaxed, GGA-PBE.

- Formation energy: -0.539 eV/atom
- Spin magnetization: 0.000 μB per cell
- Calculated total energy: -98.026 eV/cell

Cell lengths 7.588, 8.254, 10.916 Å; angles 109.78, 90.00, 117.36 degrees
Fractional positions:
Sr1 0.666 0.990 0.738
Sr2 0.323 0.990 0.238
Ac1 0.276 0.207 0.935
Ac2 0.931 0.207 0.435
Ac3 0.547 0.420 0.632
Ac4 0.872 0.420 0.132
Ac5 0.123 0.596 0.837
Ac6 0.473 0.596 0.337
Ac7 0.055 0.779 0.543
Ac8 0.723 0.779 0.043
Ir1 0.690 0.392 0.877
Ir2 0.702 0.392 0.377
Ir3 0.290 0.584 0.583
Ir4 0.293 0.584 0.083
Ir5 0.916 0.813 0.805
Ir6 0.897 0.813 0.305

(19)
SrAc5Ir4: relaxed, GGA-PBE.

- Formation energy: -0.477 eV/atom
- Spin magnetization: 0.000 μB per cell
- Calculated total energy: -62.437 eV/cell

Cell lengths 4.438, 8.468, 10.951 Å; angles 122.39, 101.69, 90.00 degrees
Fractional positions:
Sr1 0.500 0.000 0.000
Ac1 0.163 0.962 0.326
Ac2 0.161 0.488 0.322
Ac3 0.839 0.512 0.678
Ac4 0.500 0.500 0.000
Ac5 0.837 0.038 0.674
Ir1 0.677 0.734 0.355
Ir2 0.000 0.252 0.000
Ir3 0.323 0.266 0.645
Ir4 0.000 0.748 0.000

(20)
SrAcIr4: relaxed, GGA-PBE.

- Formation energy: -0.422 eV/atom
- Spin magnetization: 0.000 μB per cell
- Calculated total energy: -43.768 eV/cell

Cell lengths 5.529, 5.529, 5.529 Å; angles 60.00, 60.00, 60.00 degrees
Fractional positions:
Sr1 0.250 0.250 0.250
Ac1 0.000 0.000 0.000
Ir1 0.625 0.625 0.126
Ir2 0.625 0.126 0.625
Ir3 0.625 0.625 0.625
Ir4 0.126 0.625 0.625

(21)
SrAc6Ir3: relaxed, GGA-PBE.

- Formation energy: -0.485 eV/atom
- Spin magnetization: 0.000 μB per cell
- Calculated total energy: -115.529 eV/cell

Cell lengths 4.381, 13.445, 13.572 Å; angles 102.67, 90.00, 90.00 degrees
Fractional positions:
Sr1 0.750 0.032 0.639
Sr2 0.250 0.968 0.361
Ac1 0.750 0.520 0.633
Ac2 0.250 0.480 0.367
Ac3 0.750 0.935 0.092
Ac4 0.250 0.065 0.908
Ac5 0.750 0.389 0.041
Ac6 0.250 0.611 0.959
Ac7 0.750 0.667 0.244
Ac8 0.250 0.333 0.756
Ac9 0.750 0.239 0.468
Ac10 0.250 0.761 0.532
Ac11 0.750 0.798 0.808
Ac12 0.250 0.202 0.192
Ir1 0.750 0.476 0.848
Ir2 0.250 0.524 0.152
Ir3 0.750 0.627 0.453
Ir4 0.250 0.373 0.547
Ir5 0.750 0.150 0.050
Ir6 0.250 0.850 0.950